A geometry-optimized Zn3FeSe structure, computed with PBE.

Computed properties:
**Excess energy over the best structure of this formula in the dataset**: 1.90 eV per formula unit
**ΔE_f (raw)**: 965 meV per atom
**Symmetry**: Pm-3m
**Calculated density**: 4.7 g/cm3

Cell: 4.8736 4.8736 4.8736 Å, 90.00 90.00 90.00°
Last column: nearest neighbours and their distance in Å.
Fractional coordinates of all 5 atoms:
Zn 0.0000 0.5000 0.0000  2 Se 2.44
Zn 0.0000 0.0000 0.5000  2 Se 2.44
Zn 0.5000 0.0000 0.0000  2 Se 2.44
Fe 0.5000 0.5000 0.5000  12 Zn 3.45
Se 0.0000 0.0000 0.0000  6 Zn 2.44